1.
HfPa5 | PBE | relaxed

Output
**Polymorph energy (0 for the lowest one)**: 0.020 eV/atom
**Spin magnetization**: 0.00 μB per formula unit
**DOS at the Fermi energy**: 2.149 states/eV per atom
**Uncorrected energy**: -114.21 eV/cell
**Energy of formation**: 0.055 eV/atom

The structure in CIF format:
```
data_HfPa5
_symmetry_space_group_name_H-M 'C m m m'
_symmetry_Int_Tables_number 65
_symmetry_space_group_name_Hall '-C 2 2'
_cell_length_a 5.513
_cell_length_b 16.546
_cell_length_c 3.211
_cell_angle_alpha 90.00
_cell_angle_beta 90.00
_cell_angle_gamma 90.00
loop_
_atom_site_label
_atom_site_fract_x
_atom_site_fract_y
_atom_site_fract_z
Hf1 0.000 0.000 0.000
Pa1 0.000 0.169 0.500
Pa2 0.000 0.337 0.000
Pa3 0.000 0.500 0.500
```



2.
Be2Ni | PBE | relaxed

Output
**Spin magnetization**: 0.00 μB per formula unit
**DOS at the Fermi energy**: 0.308 states/eV per atom
**Uncorrected energy**: -14.19 eV/cell
**Energy of formation**: -0.320 eV/atom

The structure in CIF format:
```
data_Be2Ni
_symmetry_space_group_name_H-M 'P -3 m 1'
_symmetry_Int_Tables_number 164
_symmetry_space_group_name_Hall '-P 3 2"'
_cell_length_a 3.5582
_cell_length_b 3.5582
_cell_length_c 2.3672
_cell_angle_alpha 90.00
_cell_angle_beta 90.00
_cell_angle_gamma 120.00
loop_
_atom_site_label
_atom_site_fract_x
_atom_site_fract_y
_atom_site_fract_z
Be1 0.3333 0.6667 0.4775
Ni1 0.0000 0.0000 0.0000
```



3.
LiAu5 | PBE | relaxed

Output
**Polymorph energy (0 for the lowest one)**: 0.023 eV/atom
**Spin magnetization**: 0.00 μB per formula unit
**DOS at the Fermi energy**: 0.363 states/eV per atom
**Uncorrected energy**: -19.60 eV/cell
**Energy of formation**: -0.217 eV/atom

The structure in CIF format:
```
data_LiAu5
_symmetry_space_group_name_H-M 'P -6 2 m'
_symmetry_Int_Tables_number 189
_symmetry_space_group_name_Hall 'P -6 -2'
_cell_length_a 5.0225
_cell_length_b 5.0225
_cell_length_c 4.8063
_cell_angle_alpha 90.00
_cell_angle_beta 90.00
_cell_angle_gamma 120.00
loop_
_atom_site_label
_atom_site_fract_x
_atom_site_fract_y
_atom_site_fract_z
Li1 0.0000 0.0000 0.0000
Au1 0.0000 0.6699 0.5000
Au2 0.3333 0.6667 0.0000
```



4.
RbTb2AgS4 | PBE | relaxed

Output
**Spin magnetization**: 0.00 μB per formula unit
**DOS at the Fermi energy**: 0.000 states/eV per atom
**Uncorrected energy**: -168.96 eV/cell
**Formation energy without anion corrections**: -1.581 eV/atom

The structure in CIF format:
```
data_RbTb2AgS4
_symmetry_space_group_name_H-M 'C m c m'
_symmetry_Int_Tables_number 63
_symmetry_space_group_name_Hall '-C 2c 2'
_cell_length_a 4.087
_cell_length_b 13.810
_cell_length_c 14.280
_cell_angle_alpha 90.00
_cell_angle_beta 90.00
_cell_angle_gamma 90.00
loop_
_atom_site_label
_atom_site_fract_x
_atom_site_fract_y
_atom_site_fract_z
Rb1 0.000 0.115 0.250
Tb1 0.000 0.368 0.065
Ag1 0.000 0.165 0.750
S1 0.000 0.000 0.000
S2 0.000 0.261 0.600
S3 0.000 0.438 0.250
```



5.
Tb2Pm2Dy3 | PBE | relaxed

Output
**Polymorph energy (0 for the lowest one)**: 0.000 eV/atom
**Spin magnetization**: 0.00 μB per formula unit
**DOS at the Fermi energy**: 1.524 states/eV per atom
**Uncorrected energy**: -63.48 eV/cell
**Energy of formation**: 0.119 eV/atom

The structure in CIF format:
```
data_Tb2Pm2Dy3
_symmetry_space_group_name_H-M 'C 1 2/m 1'
_symmetry_Int_Tables_number 12
_cell_length_a 17.547
_cell_length_b 3.511
_cell_length_c 8.578
_cell_angle_alpha 90.00
_cell_angle_beta 119.18
_cell_angle_gamma 90.00
loop_
_symmetry_equiv_pos_as_xyz
'x,y,z'
'-x,-y,-z'
'-x,y,-z'
'x,-y,z'
'x+1/2,y+1/2,z'
'-x+1/2,-y+1/2,-z'
'-x+1/2,y+1/2,-z'
'x+1/2,-y+1/2,z'
loop_
_atom_site_label
_atom_site_fract_x
_atom_site_fract_y
_atom_site_fract_z
Tb1 0.149 0.000 0.332
Pm1 0.067 0.500 0.911
Dy1 0.000 0.000 0.500
Dy2 0.212 0.000 0.801
```



6.
Ta2FeRh | PBE | relaxed

Output
**Spin magnetization**: 0.00 μB per formula unit
**DOS at the Fermi energy**: 0.806 states/eV per atom
**Uncorrected energy**: -80.17 eV/cell
**Energy of formation**: -0.142 eV/atom

The structure in CIF format:
```
data_Ta2FeRh
_symmetry_space_group_name_H-M 'I -4 m 2'
_symmetry_Int_Tables_number 119
_symmetry_space_group_name_Hall 'I -4 -2'
_cell_length_a 3.797
_cell_length_b 3.797
_cell_length_c 8.476
_cell_angle_alpha 90.00
_cell_angle_beta 90.00
_cell_angle_gamma 90.00
loop_
_atom_site_label
_atom_site_fract_x
_atom_site_fract_y
_atom_site_fract_z
Ta1 0.000 0.000 0.000
Ta2 0.000 0.500 0.250
Fe1 0.000 0.500 0.750
Rh1 0.000 0.000 0.500
```



7.
HoTm5Mg | PBE | relaxed

Output
**Spin magnetization**: 0.00 μB per formula unit
**DOS at the Fermi energy**: 1.208 states/eV per atom
**Uncorrected energy**: -44.33 eV/cell
**Energy of formation**: 0.909 eV/atom

The structure in CIF format:
```
data_HoTm5Mg
_symmetry_space_group_name_H-M 'I m m 2'
_symmetry_Int_Tables_number 44
_cell_length_a 7.797
_cell_length_b 11.393
_cell_length_c 6.066
_cell_angle_alpha 90.00
_cell_angle_beta 90.00
_cell_angle_gamma 90.00
loop_
_symmetry_equiv_pos_as_xyz
'x,y,z'
'-x,-y,z'
'-x,y,z'
'x,-y,z'
'x+1/2,y+1/2,z+1/2'
'-x+1/2,-y+1/2,z+1/2'
'-x+1/2,y+1/2,z+1/2'
'x+1/2,-y+1/2,z+1/2'
loop_
_atom_site_label
_atom_site_fract_x
_atom_site_fract_y
_atom_site_fract_z
Ho1 0.000 0.000 0.000
Tm1 0.000 0.249 0.373
Tm2 0.000 0.500 0.708
Tm3 0.185 0.000 0.501
Mg1 0.000 0.500 0.235
```



8.
ScTaBi3 | PBE | relaxed

Output
**Polymorph energy (0 for the lowest one)**: 0.000 eV/atom
**Spin magnetization**: 0.00 μB per formula unit
**DOS at the Fermi energy**: 0.889 states/eV per atom
**Uncorrected energy**: -26.71 eV/cell
**Energy of formation**: 0.624 eV/atom

The structure in CIF format:
```
data_ScTaBi3
_symmetry_space_group_name_H-M 'P m -3 m'
_symmetry_Int_Tables_number 221
_symmetry_space_group_name_Hall '-P 4 2 3'
_cell_length_a 5.498
_cell_length_b 5.498
_cell_length_c 5.498
_cell_angle_alpha 90.00
_cell_angle_beta 90.00
_cell_angle_gamma 90.00
loop_
_atom_site_label
_atom_site_fract_x
_atom_site_fract_y
_atom_site_fract_z
Sc1 0.000 0.000 0.000
Ta1 0.500 0.500 0.500
Bi1 0.000 0.500 0.500
```



9.
BeSnW3 | PBE | relaxed

Output
**Polymorph energy (0 for the lowest one)**: 2.206 eV/atom
**Spin magnetization**: 0.00 μB per formula unit
**DOS at the Fermi energy**: 1.192 states/eV per atom
**Uncorrected energy**: -31.18 eV/cell
**Energy of formation**: 3.082 eV/atom

The structure in CIF format:
```
data_BeSnW3
_symmetry_space_group_name_H-M 'P m -3 m'
_symmetry_Int_Tables_number 221
_symmetry_space_group_name_Hall '-P 4 2 3'
_cell_length_a 4.874
_cell_length_b 4.874
_cell_length_c 4.874
_cell_angle_alpha 90.00
_cell_angle_beta 90.00
_cell_angle_gamma 90.00
loop_
_atom_site_label
_atom_site_fract_x
_atom_site_fract_y
_atom_site_fract_z
Be1 0.000 0.000 0.000
Sn1 0.500 0.500 0.500
W1 0.000 0.500 0.500
```



10.
Tm4Tl2PSe | PBE | relaxed

Output
**Spin magnetization**: 0.00 μB per formula unit
**DOS at the Fermi energy**: 0.537 states/eV per atom
**Uncorrected energy**: -39.40 eV/cell
**Formation energy without anion corrections**: -0.986 eV/atom

The structure in CIF format:
```
data_Tm4Tl2PSe
_symmetry_space_group_name_H-M 'P 1 2/m 1'
_symmetry_Int_Tables_number 10
_cell_length_a 6.731
_cell_length_b 3.868
_cell_length_c 8.127
_cell_angle_alpha 90.00
_cell_angle_beta 105.81
_cell_angle_gamma 90.00
loop_
_symmetry_equiv_pos_as_xyz
'x,y,z'
'-x,-y,-z'
'-x,y,-z'
'x,-y,z'
loop_
_atom_site_label
_atom_site_fract_x
_atom_site_fract_y
_atom_site_fract_z
Tm1 0.225 0.000 0.206
Tm2 0.251 0.500 0.786
Tl1 0.000 0.000 0.500
Tl2 0.500 0.500 0.500
P1 0.000 0.500 0.000
Se1 0.500 0.000 0.000
```



11.
LaPa2Os | PBE | relaxed

Output
**Polymorph energy (0 for the lowest one)**: 0.279 eV/atom
**Spin magnetization**: 0.00 μB per formula unit
**DOS at the Fermi energy**: 2.223 states/eV per atom
**Uncorrected energy**: -102.32 eV/cell
**Energy of formation**: 0.260 eV/atom

The structure in CIF format:
```
data_LaPa2Os
_symmetry_space_group_name_H-M 'R -3 m'
_symmetry_Int_Tables_number 166
_symmetry_space_group_name_Hall '-R 3 2"'
_cell_length_a 3.6944
_cell_length_b 3.6944
_cell_length_c 29.4465
_cell_angle_alpha 90.00
_cell_angle_beta 90.00
_cell_angle_gamma 120.00
loop_
_atom_site_label
_atom_site_fract_x
_atom_site_fract_y
_atom_site_fract_z
La1 0.0000 0.0000 0.0000
Pa1 0.0000 0.0000 0.1082
Os1 0.0000 0.0000 0.5000
```



12.
ZnHgBr4 | PBE | relaxed

Output
**Polymorph energy (0 for the lowest one)**: 0.152 eV/atom
**Spin magnetization**: 0.00 μB per formula unit
**Uncorrected energy**: -22.60 eV/cell
**Formation energy without anion corrections**: -0.506 eV/atom

The structure in CIF format:
```
data_ZnHgBr4
_symmetry_space_group_name_H-M 'P 42/m m c'
_symmetry_Int_Tables_number 131
_symmetry_space_group_name_Hall '-P 4c 2'
_cell_length_a 7.603
_cell_length_b 7.603
_cell_length_c 9.323
_cell_angle_alpha 90.00
_cell_angle_beta 90.00
_cell_angle_gamma 90.00
loop_
_atom_site_label
_atom_site_fract_x
_atom_site_fract_y
_atom_site_fract_z
Zn1 0.000 0.500 0.000
Hg1 0.000 0.000 0.000
Br1 0.236 0.268 0.000
```